[1]
Sc2PtPb | GGA-PBEsol | optimized geometry

Geometry as POSCAR:
```
Sc2PtPb
1.0
4.378 0.000 0.000
0.000 1.740 5.447
0.000 -1.740 5.447
Sc Pt Pb
2 1 1
Direct
0.000 0.000 0.000 Sc
0.500 0.308 0.308 Sc
0.500 0.549 0.549 Pt
0.000 0.726 0.726 Pb
```

Summary:
- energy (eV per cell) = -27.146
- mass density (Mg/m³) = 9.848
- calculated formation energy (meV per atom) = -743

[2]
ScZnCr2 | GGA-PBEsol | optimized geometry

Geometry as POSCAR:
```
ScZnCr2
1.0
2.622 -4.405 0.000
2.622 4.405 0.000
-0.871 0.000 2.365
Sc Zn Cr
1 1 2
Direct
0.000 0.000 0.000 Sc
0.500 0.500 0.000 Zn
0.000 0.500 0.500 Cr
0.500 0.000 0.500 Cr
```

Summary:
- energy (eV per cell) = -27.095
- mass density (Mg/m³) = 6.516
- calculated formation energy (meV per atom) = 394

[3]
MgTlCl | GGA-PBEsol | optimized geometry

Geometry as POSCAR:
```
MgTlCl
1.0
0.000 3.628 3.628
3.628 0.000 3.628
3.628 3.628 0.000
Mg Tl Cl
1 1 1
Direct
0.000 0.000 0.000 Mg
0.250 0.250 0.250 Tl
0.500 0.500 0.500 Cl
```

Summary:
- ΔE_f (raw) (eV/f.u.) = -0.7
- energy (eV per cell) = -7.020
- mass density (Mg/m³) = 4.594

[4]
Mg2FeHg | GGA-PBEsol | optimized geometry

Geometry as POSCAR:
```
Mg2FeHg
1.0
5.147 -1.613 0.000
5.147 1.613 0.000
-2.129 0.000 4.179
Mg Fe Hg
2 1 1
Direct
0.238 0.238 0.238 Mg
0.762 0.762 0.762 Mg
0.500 0.500 0.000 Fe
0.000 0.000 0.500 Hg
```

Summary:
- energy (eV per cell) = -12.166
- mass density (Mg/m³) = 7.302
- calculated formation energy (meV per atom) = 200